(1)
First-principles (GGA+U) data for crystalline FeCo2SbO6 at its relaxed geometry, as listed in Alexandria.

Cell: 5.2318 5.2314 5.5428 Å, 61.82 61.82 59.99°
With the nearest neighbours (Å) after each atom.
Sites, in units of the cell vectors:
Fe  0.8122  0.8122  0.5634  6 O 2.00-2.14
Co  0.5282  0.5280  0.4157  6 O 2.04-2.25
Co  0.0234  0.0236  0.9296  6 O 2.06-2.20
Sb  0.3175  0.3175  0.0475  6 O 2.00-2.05
O  0.5993  0.2076  0.2569  1 Sb 2.00, 2 Co 2.05-2.20, 1 Fe 2.14
O  0.2077  0.9360  0.2570  1 Sb 2.00, 2 Co 2.04-2.20, 1 Fe 2.14
O  0.9362  0.5992  0.2571  1 Sb 2.00, 2 Co 2.04-2.20, 1 Fe 2.14
O  0.4305  0.7032  0.7627  1 Fe 2.00, 1 Sb 2.05, 1 Co 2.06
O  0.7031  0.1038  0.7626  1 Fe 2.00, 1 Sb 2.05, 1 Co 2.06
O  0.1037  0.4306  0.7628  1 Fe 2.00, 1 Sb 2.05, 1 Co 2.06



(2)
First-principles (GGA+U) data for crystalline Fe3Co3Sb2O16 at its relaxed geometry, as listed in Alexandria.

Cell: 5.8073 5.8073 9.2137 Å, 88.95 88.95 59.71°
With the nearest neighbours (Å) after each atom.
Sites, in units of the cell vectors:
Fe  0.1640  0.1640  0.2110  6 O 1.96-2.06
Fe  0.8318  0.3336  0.7118  6 O 1.92-2.01
Fe  0.3336  0.8318  0.7118  6 O 1.92-2.01
Co  0.6591  0.1672  0.2150  6 O 1.84-1.97
Co  0.1672  0.6591  0.2150  6 O 1.84-1.97
Co  0.8290  0.8290  0.7160  6 O 1.86-1.96
Sb  0.3398  0.3398  0.4930  6 O 1.98-2.08
Sb  0.6678  0.6678  0.9930  6 O 1.97-2.08
O  0.6795  0.1613  0.6015  1 Fe 1.94, 1 Co 1.96, 1 Sb 1.98
O  0.4851  0.4851  0.3308  2 Co 1.93, 1 Sb 2.07
O  0.3468  0.3468  0.1115  2 Co 1.85, 1 Fe 2.04
O  0.9873  0.9873  0.3082  2 Co 1.87, 1 Fe 1.98
O  0.9932  0.9932  0.8089  1 Co 1.88, 2 Fe 1.92
O  0.1613  0.6795  0.6015  1 Fe 1.94, 1 Co 1.96, 1 Sb 1.98
O  0.4955  0.0392  0.3384  1 Co 1.84
O  0.0392  0.4955  0.3384  1 Co 1.84
O  0.8387  0.8387  0.1003  2 Co 1.97, 1 Sb 2.00
O  0.1660  0.1660  0.5966  2 Fe 1.97, 1 Sb 1.98
O  0.9654  0.5221  0.8352  1 Co 1.88, 1 Fe 2.01, 1 Sb 2.07
O  0.5221  0.9654  0.8352  1 Co 1.88, 1 Fe 2.01, 1 Sb 2.07
O  0.6734  0.6734  0.6116  1 Co 1.86, 2 Fe 1.93
O  0.8340  0.3237  0.0981  1 Fe 1.96, 1 Co 1.97, 1 Sb 1.97
O  0.5195  0.5195  0.8391  2 Fe 1.96, 1 Sb 2.08
O  0.3237  0.8340  0.0981  1 Fe 1.96, 1 Co 1.97, 1 Sb 1.97



(3)
First-principles (GGA+U) data for crystalline FeCoSi2O at its relaxed geometry, as listed in Alexandria.

Cell: 4.0995 4.7326 4.0995 Å, 90.00 90.00 90.00°
With the nearest neighbours (Å) after each atom.
Sites, in units of the cell vectors:
Si  0.0000  0.0000  0.5000  2 Co 2.05
Si  0.5000  0.0000  0.0000  2 Co 2.05
Co  0.0000  0.0000  0.0000  4 Si 2.05
Fe  0.0000  0.5000  0.0000  2 Co 2.37
O  0.5000  0.5000  0.5000  4 Fe 2.90, 8 Si 3.13



(4)
First-principles (GGA+U) data for crystalline Fe2CoSiO6 at its relaxed geometry, as listed in Alexandria.

Cell: 4.9294 4.9295 5.3547 Å, 62.59 62.59 60.00°
With the nearest neighbours (Å) after each atom.
Sites, in units of the cell vectors:
Fe  0.5255  0.5254  0.4237  6 O 1.98-2.13
Fe  0.0098  0.0098  0.9706  6 O 1.94-1.99
Co  0.8036  0.8036  0.5892  3 O 1.99
Si  0.3244  0.3244  0.0269  6 O 1.80-1.83
O  0.5822  0.2343  0.2285  1 Si 1.80, 2 Fe 1.98-1.99
O  0.2343  0.9549  0.2285  1 Si 1.80, 2 Fe 1.98-1.99
O  0.9550  0.5822  0.2285  1 Si 1.80, 2 Fe 1.98-1.99
O  0.3955  0.7045  0.7731  1 Si 1.83, 1 Fe 1.94, 1 Co 1.99
O  0.7045  0.1270  0.7731  1 Si 1.83, 1 Fe 1.94, 1 Co 1.99
O  0.1270  0.3955  0.7731  1 Si 1.83, 1 Fe 1.94, 1 Co 1.99



(5)
First-principles (GGA+U) data for crystalline Fe2CoSnO6 at its relaxed geometry, as listed in Alexandria.

Cell: 5.1772 5.1763 5.5295 Å, 62.07 62.07 59.99°
With the nearest neighbours (Å) after each atom.
Sites, in units of the cell vectors:
Fe  0.5193  0.5191  0.4422  6 O 1.99-2.13
Fe  0.0131  0.0132  0.9606  6 O 1.97-2.02
Co  0.8039  0.8040  0.5884  6 O 2.05-2.25
Sn  0.3137  0.3136  0.0591  6 O 2.06-2.14
O  0.6286  0.2287  0.2392  2 Fe 1.99-2.02, 1 Sn 2.06
O  0.2287  0.9035  0.2392  2 Fe 1.99-2.02, 1 Sn 2.06
O  0.9036  0.6285  0.2392  2 Fe 1.99-2.02, 1 Sn 2.06
O  0.3899  0.7354  0.7491  2 Fe 1.97-2.13, 1 Co 2.05, 1 Sn 2.14
O  0.7352  0.1256  0.7491  2 Fe 1.97-2.13, 1 Co 2.05, 1 Sn 2.14
O  0.1256  0.3901  0.7490  2 Fe 1.97-2.13, 1 Co 2.05, 1 Sn 2.14



(6)
First-principles (GGA+U) data for crystalline FeCo2SnO6 at its relaxed geometry, as listed in Alexandria.

Cell: 5.1440 5.1435 5.5058 Å, 62.13 62.14 60.01°
With the nearest neighbours (Å) after each atom.
Sites, in units of the cell vectors:
Fe  0.8162  0.8162  0.5515  6 O 2.01-2.09
Co  0.5095  0.5095  0.4714  6 O 1.95-1.96
Co  0.0254  0.0255  0.9236  6 O 2.04-2.22
Sn  0.3080  0.3080  0.0761  6 O 2.05-2.17
O  0.6172  0.2340  0.2587  1 Co 1.96, 1 Sn 2.05, 1 Fe 2.09
O  0.2340  0.8902  0.2586  1 Co 1.96, 1 Sn 2.05, 1 Fe 2.09
O  0.8903  0.6171  0.2586  1 Co 1.96, 1 Sn 2.05, 1 Fe 2.09
O  0.4258  0.7103  0.7389  2 Co 1.95-2.04, 1 Fe 2.01, 1 Sn 2.17
O  0.7103  0.1250  0.7389  2 Co 1.95-2.04, 1 Fe 2.01, 1 Sn 2.17
O  0.1250  0.4258  0.7389  2 Co 1.95-2.04, 1 Fe 2.01, 1 Sn 2.17



Number 1: DOS(E_F) 0.0 states/eV/cell, electronic total energy -62.65 eV per cell. Number 2: DOS(E_F) 0.9 states/eV/cell, electronic total energy -143.26 eV per cell. Number 3: DOS(E_F) 1.1 states/eV/cell, electronic total energy -23.71 eV per cell. Number 4: DOS(E_F) 0.0 states/eV/cell, electronic total energy -67.18 eV per cell. Number 5: DOS(E_F) 0.0 states/eV/cell, electronic total energy -62.59 eV per cell. Number 6: DOS(E_F) 0.0 states/eV/cell, electronic total energy -62.32 eV per cell.